An optimized crystal structure of Tb5Dy4Mg. Source: Alexandria, functional PBE.

uncorrected energy = -41.1 eV/cell
calculated density = 7.6 g/cm3
distance to the lowest polymorph of the same formula = 109 meV/atom
SG = I4mm (107)
calculated formation energy = 0.209 eV per atom

a = 5.7485 Å, b = 8.0035 Å, c = 8.0035 Å
α = 82.59°, β = 68.95°, γ = 68.95°
Fractional positions:
Tb 0.7650 0.3719 0.0000
Tb 0.1369 0.0000 0.6281
Tb 0.7649 0.0000 0.3719
Tb 0.1369 0.6281 0.0000
Tb 0.6685 0.0000 0.0000
Dy 0.4617 0.3210 0.6790
Dy 0.7827 0.6790 0.6790
Dy 0.1407 0.3210 0.3210
Dy 0.4617 0.6790 0.3210
Mg 0.1912 0.0000 0.0000

An optimized crystal structure of Cu4Os5. Source: Alexandria, functional PBE.

uncorrected energy = -68.9 eV/cell
calculated density = 16.4 g/cm3
distance to the lowest polymorph of the same formula = 0 meV/atom
SG = I4/mmm (139)
calculated formation energy = 0.399 eV per atom

a = 5.9668 Å, b = 5.9668 Å, c = 5.9668 Å
α = 95.87°, β = 95.87°, γ = 142.69°
Fractional positions:
Cu 0.3342 0.0000 0.3342
Cu 0.6658 0.0000 0.6658
Cu 0.0000 0.6658 0.6658
Cu 0.0000 0.3342 0.3342
Os 0.0000 0.0000 0.0000
Os 0.3364 0.6636 0.0000
Os 0.6636 0.3364 0.0000
Os 0.6636 0.6636 0.3272
Os 0.3364 0.3364 0.6728

An optimized crystal structure of Nb2CuAgCl. Source: Alexandria, functional PBE.

uncorrected energy = -21.2 eV/cell
calculated density = 5.3 g/cm3
formation energy (no corrections) = 1.5545 eV per atom
distance to the lowest polymorph of the same formula = 0 meV/atom
SG = P4/mmm (123)

a = 5.1205 Å, b = 4.7005 Å, c = 5.1205 Å
α = 90.00°, β = 90.00°, γ = 90.00°
Fractional positions:
Nb 0.0000 0.0000 0.5000
Nb 0.5000 0.0000 0.0000
Cu 0.0000 0.5000 0.0000
Ag 0.0000 0.0000 0.0000
Cl 0.5000 0.5000 0.5000